! Sr2LiMg12Ga3 | Alexandria | PBE | optimized geometry; values from VASP
! Volume in Å³ per atom: 28.48
! Total DFT energy (no corrections) in Ha/atom: -0.062
! Formation enthalpy at 0 K in eV/atom: 0.174
! Space-group type: R-3m (166)
&SYSTEM
  ibrav = 0, nat = 18, ntyp = 4
/
ATOMIC_SPECIES
Sr 87.62 Sr.upf
Li 6.94 Li.upf
Mg 24.30 Mg.upf
Ga 69.72 Ga.upf
ATOMIC_POSITIONS crystal
Sr 0.080 0.080 0.080
Sr 0.920 0.920 0.920
Li 0.500 0.500 0.500
Mg 0.045 0.670 0.670
Mg 0.281 0.281 0.632
Mg 0.281 0.632 0.281
Mg 0.330 0.330 0.955
Mg 0.330 0.955 0.330
Mg 0.368 0.719 0.719
Mg 0.632 0.281 0.281
Mg 0.670 0.045 0.670
Mg 0.670 0.670 0.045
Mg 0.719 0.368 0.719
Mg 0.719 0.719 0.368
Mg 0.955 0.330 0.330
Ga 0.000 0.500 0.500
Ga 0.500 0.000 0.500
Ga 0.500 0.500 0.000
CELL_PARAMETERS angstrom
4.429 2.557 7.545
-4.429 2.557 7.545
0.000 -5.114 7.545


! Sr2Li2MgGa5 | Alexandria | PBE | optimized geometry; values from VASP
! Volume in Å³ per atom: 21.45
! Total DFT energy (no corrections) in Ha/atom: -0.099
! Formation enthalpy at 0 K in eV/atom: -0.293
! Space-group type: P4/mbm (127)
&SYSTEM
  ibrav = 0, nat = 20, ntyp = 4
/
ATOMIC_SPECIES
Sr 87.62 Sr.upf
Li 6.94 Li.upf
Mg 24.30 Mg.upf
Ga 69.72 Ga.upf
ATOMIC_POSITIONS crystal
Sr 0.185 0.315 0.000
Sr 0.315 0.815 0.000
Sr 0.685 0.185 0.000
Sr 0.815 0.685 0.000
Li 0.111 0.611 0.000
Li 0.389 0.111 0.000
Li 0.611 0.889 0.000
Li 0.889 0.389 0.000
Mg 0.000 0.000 0.000
Mg 0.500 0.500 0.000
Ga 0.000 0.500 0.500
Ga 0.049 0.802 0.500
Ga 0.198 0.049 0.500
Ga 0.302 0.549 0.500
Ga 0.451 0.302 0.500
Ga 0.500 0.000 0.500
Ga 0.549 0.698 0.500
Ga 0.698 0.451 0.500
Ga 0.802 0.951 0.500
Ga 0.951 0.198 0.500
CELL_PARAMETERS angstrom
10.189 0.000 0.000
0.000 10.189 0.000
0.000 0.000 4.132


! SrLi6MgGa | Alexandria | PBE | optimized geometry; values from VASP
! Volume in Å³ per atom: 24.84
! Total DFT energy (no corrections) in Ha/atom: -0.071
! Formation enthalpy at 0 K in eV/atom: 0.044
! Space-group type: Imma (74)
&SYSTEM
  ibrav = 0, nat = 18, ntyp = 4
/
ATOMIC_SPECIES
Sr 87.62 Sr.upf
Li 6.94 Li.upf
Mg 24.30 Mg.upf
Ga 69.72 Ga.upf
ATOMIC_POSITIONS crystal
Sr 0.425 0.175 0.250
Sr 0.575 0.825 0.750
Li 0.104 0.422 0.285
Li 0.104 0.819 0.682
Li 0.181 0.931 0.250
Li 0.255 0.505 0.750
Li 0.363 0.181 0.785
Li 0.363 0.578 0.182
Li 0.637 0.422 0.818
Li 0.637 0.819 0.215
Li 0.745 0.495 0.250
Li 0.819 0.069 0.750
Li 0.896 0.181 0.318
Li 0.896 0.578 0.715
Mg 0.000 0.000 0.500
Mg 0.000 0.500 0.000
Ga 0.000 0.000 0.000
Ga 0.500 0.000 0.500
CELL_PARAMETERS angstrom
-3.463 5.111 6.315
3.463 -5.111 6.315
3.463 5.111 -6.315


! Sr2Li3Mg12Ga | Alexandria | PBE | optimized geometry; values from VASP
! Volume in Å³ per atom: 27.25
! Total DFT energy (no corrections) in Ha/atom: -0.059
! Formation enthalpy at 0 K in eV/atom: 0.123
! Space-group type: R-3m (166)
&SYSTEM
  ibrav = 0, nat = 18, ntyp = 4
/
ATOMIC_SPECIES
Sr 87.62 Sr.upf
Li 6.94 Li.upf
Mg 24.30 Mg.upf
Ga 69.72 Ga.upf
ATOMIC_POSITIONS crystal
Sr 0.141 0.141 0.141
Sr 0.859 0.859 0.859
Li 0.000 0.500 0.500
Li 0.500 0.000 0.500
Li 0.500 0.500 0.000
Mg 0.092 0.092 0.677
Mg 0.092 0.677 0.092
Mg 0.121 0.596 0.596
Mg 0.323 0.908 0.908
Mg 0.404 0.404 0.879
Mg 0.404 0.879 0.404
Mg 0.596 0.121 0.596
Mg 0.596 0.596 0.121
Mg 0.677 0.092 0.092
Mg 0.879 0.404 0.404
Mg 0.908 0.323 0.908
Mg 0.908 0.908 0.323
Ga 0.500 0.500 0.500
CELL_PARAMETERS angstrom
3.537 2.042 11.320
-3.537 2.042 11.320
0.000 -4.084 11.320


! LiTbMgGa | Alexandria | PBE | optimized geometry; values from VASP
! Volume in Å³ per atom: 20.56
! Total DFT energy (no corrections) in Ha/atom: -0.114
! Formation enthalpy at 0 K in eV/atom: -0.324
! Space-group type: F-43m (216)
&SYSTEM
  ibrav = 0, nat = 16, ntyp = 4
/
ATOMIC_SPECIES
Li 6.94 Li.upf
Tb 158.93 Tb.upf
Mg 24.30 Mg.upf
Ga 69.72 Ga.upf
ATOMIC_POSITIONS crystal
Li 0.000 0.000 0.000
Li 0.000 0.500 0.500
Li 0.500 0.000 0.500
Li 0.500 0.500 0.000
Tb 0.250 0.250 0.250
Tb 0.250 0.750 0.750
Tb 0.750 0.250 0.750
Tb 0.750 0.750 0.250
Mg 0.250 0.250 0.750
Mg 0.250 0.750 0.250
Mg 0.750 0.250 0.250
Mg 0.750 0.750 0.750
Ga 0.000 0.000 0.500
Ga 0.000 0.500 0.000
Ga 0.500 0.000 0.000
Ga 0.500 0.500 0.500
CELL_PARAMETERS angstrom
6.903 0.000 0.000
0.000 6.903 0.000
0.000 0.000 6.903


! LiMgGaTc | Alexandria | PBE | optimized geometry; values from VASP
! Volume in Å³ per atom: 15.12
! Total DFT energy (no corrections) in Ha/atom: -0.155
! Formation enthalpy at 0 K in eV/atom: 0.003
! Space-group type: F-43m (216)
&SYSTEM
  ibrav = 0, nat = 16, ntyp = 4
/
ATOMIC_SPECIES
Li 6.94 Li.upf
Mg 24.30 Mg.upf
Ga 69.72 Ga.upf
Tc 98.00 Tc.upf
ATOMIC_POSITIONS crystal
Li 0.000 0.000 0.000
Li 0.000 0.500 0.500
Li 0.500 0.000 0.500
Li 0.500 0.500 0.000
Mg 0.250 0.250 0.250
Mg 0.250 0.750 0.750
Mg 0.750 0.250 0.750
Mg 0.750 0.750 0.250
Ga 0.250 0.250 0.750
Ga 0.250 0.750 0.250
Ga 0.750 0.250 0.250
Ga 0.750 0.750 0.750
Tc 0.000 0.000 0.500
Tc 0.000 0.500 0.000
Tc 0.500 0.000 0.000
Tc 0.500 0.500 0.500
CELL_PARAMETERS angstrom
6.232 0.000 0.000
0.000 6.232 0.000
0.000 0.000 6.232


! LiThMg2Ga4 | Alexandria | PBE | optimized geometry; values from VASP
! Volume in Å³ per atom: 20.18
! Total DFT energy (no corrections) in Ha/atom: -0.124
! Formation enthalpy at 0 K in eV/atom: -0.286
! Space-group type: R-3m (166)
&SYSTEM
  ibrav = 0, nat = 8, ntyp = 4
/
ATOMIC_SPECIES
Li 6.94 Li.upf
Th 232.04 Th.upf
Mg 24.30 Mg.upf
Ga 69.72 Ga.upf
ATOMIC_POSITIONS crystal
Li 0.000 0.000 0.000
Th 0.500 0.500 0.500
Mg 0.256 0.256 0.256
Mg 0.744 0.744 0.744
Ga 0.109 0.109 0.109
Ga 0.370 0.370 0.370
Ga 0.630 0.630 0.630
Ga 0.891 0.891 0.891
CELL_PARAMETERS angstrom
2.349 1.356 8.447
-2.349 1.356 8.447
0.000 -2.712 8.447


! LiMgTiGa | Alexandria | PBE | optimized geometry; values from VASP
! Volume in Å³ per atom: 16.61
! Total DFT energy (no corrections) in Ha/atom: -0.135
! Formation enthalpy at 0 K in eV/atom: -0.073
! Space-group type: F-43m (216)
&SYSTEM
  ibrav = 0, nat = 16, ntyp = 4
/
ATOMIC_SPECIES
Li 6.94 Li.upf
Mg 24.30 Mg.upf
Ti 47.87 Ti.upf
Ga 69.72 Ga.upf
ATOMIC_POSITIONS crystal
Li 0.000 0.000 0.000
Li 0.000 0.500 0.500
Li 0.500 0.000 0.500
Li 0.500 0.500 0.000
Mg 0.250 0.250 0.250
Mg 0.250 0.750 0.750
Mg 0.750 0.250 0.750
Mg 0.750 0.750 0.250
Ti 0.250 0.250 0.750
Ti 0.250 0.750 0.250
Ti 0.750 0.250 0.250
Ti 0.750 0.750 0.750
Ga 0.000 0.000 0.500
Ga 0.000 0.500 0.000
Ga 0.500 0.000 0.000
Ga 0.500 0.500 0.500
CELL_PARAMETERS angstrom
6.429 0.000 0.000
0.000 6.429 0.000
0.000 0.000 6.429